[1]
Below is a geometry-optimized Dy5Er2Tm4 structure, with properties calculated at the PBE level.

Total DFT energy (no corrections): -95.073 eV per cell
Distance to the lowest polymorph of the same formula: 82 meV per atom

a b c (Å): 3.457 8.885 22.996
angles (deg): 90.00 90.00 90.00
Space group Immm (No. 71)
Symmetry-distinct sites (fractional):
1 Dy 0.000 0.000 0.000 (multiplicity 2)
2 Dy 0.000 0.302 0.356 (multiplicity 8)
3 Er 0.000 0.500 0.231 (multiplicity 4)
4 Tm 0.000 0.188 0.500 (multiplicity 4)
5 Tm 0.000 0.500 0.097 (multiplicity 4)

***

[2]
Below is a geometry-optimized Dy5Er2Tm5 structure, with properties calculated at the PBE level.

Total DFT energy (no corrections): -108.462 eV per cell

a b c (Å): 14.866 4.956 11.088
angles (deg): 90.00 116.54 90.00
Space group C2/m (No. 12)
Symmetry-distinct sites (fractional):
1 Dy 0.000 0.000 0.000 (multiplicity 2)
2 Dy 0.166 0.000 0.500 (multiplicity 4)
3 Dy 0.250 0.000 0.249 (multiplicity 4)
4 Er 0.083 0.000 0.751 (multiplicity 4)
5 Tm 0.000 0.500 0.500 (multiplicity 2)
6 Tm 0.083 0.500 0.250 (multiplicity 4)
7 Tm 0.167 0.500 0.000 (multiplicity 4)

***

[3]
Below is a geometry-optimized Dy2Er3Tm8 structure, with properties calculated at the PBE level.

Total DFT energy (no corrections): -112.990 eV per cell
Distance to the lowest polymorph of the same formula: 0 meV per atom

a b c (Å): 5.512 6.712 21.887
angles (deg): 90.00 90.00 90.00
Space group Immm (No. 71)
Symmetry-distinct sites (fractional):
1 Dy 0.000 0.000 0.223 (multiplicity 4)
2 Er 0.000 0.265 0.500 (multiplicity 4)
3 Er 0.000 0.500 0.000 (multiplicity 2)
4 Tm 0.000 0.000 0.075 (multiplicity 4)
5 Tm 0.000 0.261 0.348 (multiplicity 8)
6 Tm 0.000 0.500 0.184 (multiplicity 4)